[1]
## CaY2O4 (GGA-PBE)

Data for an optimized crystal structure of CaY2O4.

Uncorrected energy   -8.242 eV/atom
ΔE_f (raw)   -3.276 eV per atom
Energy relative to the lowest polymorph listed for this composition   0.068 eV/atom

Cell lengths 3.4276, 5.8291, 6.4907 Å; angles 117.75, 105.31, 90.00 degrees
Closest atoms and distances in Å follow each position.
Element x y z (fractional)
Ca: 0.0000 0.0000 0.0000  6 O 2.34-2.48
Y: 0.7101 0.7142 0.4202  6 O 2.21-2.46
Y: 0.2899 0.2858 0.5798  6 O 2.21-2.46
O: 0.8620 0.1641 0.7239  3 Y 2.21-2.38, 1 Ca 2.34
O: 0.1380 0.8359 0.2761  3 Y 2.21-2.38, 1 Ca 2.34
O: 0.6483 0.2838 0.2965  3 Y 2.24-2.46, 2 Ca 2.48
O: 0.3517 0.7162 0.7035  3 Y 2.24-2.46, 2 Ca 2.48

[2]
## OsI3Cl4 (GGA-PBE)

Data for an optimized crystal structure of OsI3Cl4.

Uncorrected energy   -2.924 eV/atom
ΔE_f (raw)   -0.016 eV per atom

Cell lengths 10.4948, 12.9490, 8.9377 Å; angles 136.42, 125.95, 90.00 degrees
Closest atoms and distances in Å follow each position.
Element x y z (fractional)
I: 0.3496 0.5730 0.6992  1 I 2.90, 1 Cl 3.18
I: 0.3720 0.3720 0.7441  2 I 2.90
I: 0.3496 0.1262 0.6992  1 I 2.90, 1 Cl 3.18
Os: 0.9604 0.4604 0.9208  4 Cl 2.19-2.21
Cl: 0.7500 0.3844 0.5001  1 Os 2.21
Cl: 0.7500 0.1157 0.5001  1 Os 2.21
Cl: 0.3282 0.6586 0.3173  1 Os 2.19
Cl: 0.9890 0.6586 0.3173  1 Os 2.19

[3]
## Hf2Ti2Tl (GGA-PBE)

Data for an optimized crystal structure of Hf2Ti2Tl.

Uncorrected energy   -7.523 eV/atom
DFT formation energy   0.090 eV/atom
Energy relative to the lowest polymorph listed for this composition   0.000 eV/atom

Cell lengths 7.3005, 7.3005, 3.8607 Å; angles 90.00, 90.00, 90.00 degrees
Closest atoms and distances in Å follow each position.
Element x y z (fractional)
Tl: 0.0000 0.0000 0.0000  4 Ti 2.86
Tl: 0.5000 0.5000 0.0000  4 Ti 2.86
Hf: 0.1631 0.6631 0.5000  6 Ti 2.88-2.89
Hf: 0.6631 0.8369 0.5000  6 Ti 2.88-2.89
Hf: 0.8369 0.3369 0.5000  6 Ti 2.88-2.89
Hf: 0.3369 0.1631 0.5000  6 Ti 2.88-2.89
Ti: 0.3699 0.8699 0.0000  1 Ti 2.69, 2 Tl 2.86, 6 Hf 2.88-2.89
Ti: 0.8699 0.6301 0.0000  1 Ti 2.69, 2 Tl 2.86, 6 Hf 2.88-2.89
Ti: 0.6301 0.1301 0.0000  1 Ti 2.69, 2 Tl 2.86, 6 Hf 2.88-2.89
Ti: 0.1301 0.3699 0.0000  1 Ti 2.69, 2 Tl 2.86, 6 Hf 2.88-2.89

[4]
## ThSN (GGA-PBE)

Data for an optimized crystal structure of ThSN.

Uncorrected energy   -7.611 eV/atom
ΔE_f (raw)   -0.987 eV per atom
Energy relative to the lowest polymorph listed for this composition   0.332 eV/atom

Cell lengths 3.5199, 3.5199, 5.3148 Å; angles 109.34, 109.34, 90.00 degrees
Closest atoms and distances in Å follow each position.
Element x y z (fractional)
S: 0.0338 0.0338 0.0675  1 N 2.12
Th: 0.7073 0.7073 0.4146  4 N 2.54
N: 0.2590 0.2590 0.5179  1 S 2.12

[5]
## Pm2FeCuH6 (GGA-PBE)

Data for an optimized crystal structure of Pm2FeCuH6.

Uncorrected energy   -4.567 eV/atom

Cell lengths 5.1508, 5.1508, 5.1384 Å; angles 119.91, 119.91, 90.25 degrees
Closest atoms and distances in Å follow each position.
Element x y z (fractional)
Pm: 0.7499 0.2505 0.4999  12 H 2.57-2.58
Pm: 0.2500 0.7504 0.4999  12 H 2.57-2.58
Fe: 0.9998 0.0004 0.9997  6 H 1.68
Cu: 0.5000 0.5006 0.9999  6 H 1.95-1.97
H: 0.7690 0.7695 0.0008  1 Fe 1.68
H: 0.7692 0.7697 0.5372  1 Fe 1.68
H: 0.2308 0.2313 0.9987  1 Fe 1.68
H: 0.7693 0.2310 0.9998  1 Fe 1.68
H: 0.2306 0.2310 0.4623  1 Fe 1.68
H: 0.2305 0.7697 0.9998  1 Fe 1.68

[6]
## TbGaPdRu (GGA-PBE)

Data for an optimized crystal structure of TbGaPdRu.

Uncorrected energy   -6.066 eV/atom
DFT formation energy   -0.535 eV/atom

Cell lengths 4.6138, 4.6138, 4.6138 Å; angles 60.00, 60.00, 60.00 degrees
Closest atoms and distances in Å follow each position.
Element x y z (fractional)
Ru: 0.7500 0.7500 0.7500  4 Tb 2.83, 4 Ga 2.83
Tb: 0.0000 0.0000 0.0000  4 Ru 2.83, 4 Pd 2.83
Ga: 0.5000 0.5000 0.5000  4 Pd 2.83, 4 Ru 2.83
Pd: 0.2500 0.2500 0.2500  4 Tb 2.83, 4 Ga 2.83

[7]
## CuAgPt2 (GGA-PBE)

Data for an optimized crystal structure of CuAgPt2.

Uncorrected energy   -4.743 eV/atom
DFT formation energy   0.014 eV/atom
Energy relative to the lowest polymorph listed for this composition   0.149 eV/atom

Cell lengths 4.0558, 3.8980, 3.8980 Å; angles 90.00, 90.00, 90.00 degrees
Closest atoms and distances in Å follow each position.
Element x y z (fractional)
Ag: 0.5000 0.5000 0.0000  4 Cu 2.76, 8 Pt 2.81
Cu: 0.5000 0.0000 0.5000  4 Ag 2.76, 8 Pt 2.81
Pt: 0.0000 0.0000 0.0000  4 Pt 2.76, 4 Cu 2.81, 4 Ag 2.81
Pt: 0.0000 0.5000 0.5000  4 Pt 2.76, 4 Cu 2.81, 4 Ag 2.81

[8]
## Pr7In2Co2 (GGA-PBE)

Data for an optimized crystal structure of Pr7In2Co2.

Uncorrected energy   -4.962 eV/atom
DFT formation energy   -0.130 eV/atom

Cell lengths 7.0422, 7.2078, 7.0422 Å; angles 89.99, 109.00, 90.01 degrees
Closest atoms and distances in Å follow each position.
Element x y z (fractional)
Pr: 0.9998 0.2453 0.5003  2 Co 2.75
Pr: 0.5003 0.7547 0.9998  2 Co 2.75
Pr: 0.0002 0.7547 0.4997  2 Co 2.75
Pr: 0.4997 0.2453 0.0002  2 Co 2.75
Pr: 0.0000 0.0000 0.0000  2 Co 3.37
Pr: 0.5002 0.7629 0.4998  2 Co 2.91-2.92
Pr: 0.4998 0.2371 0.5002  2 Co 2.91-2.92
In: 0.8280 0.5000 0.8280  1 In 2.81
In: 0.1720 0.5000 0.1720  1 In 2.81
Co: 0.7062 0.0000 0.2938  6 Pr 2.75-2.92
Co: 0.2938 0.0000 0.7062  6 Pr 2.75-2.92

[9]
## La3Y8Er (GGA-PBE)

Data for an optimized crystal structure of La3Y8Er.

Uncorrected energy   -5.315 eV/atom
DFT formation energy   0.606 eV/atom

Cell lengths 8.4729, 8.4729, 8.4729 Å; angles 95.40, 116.93, 116.93 degrees
Closest atoms and distances in Å follow each position.
Element x y z (fractional)
La: 0.5000 0.7500 0.2500  4 Y 3.51
La: 0.5000 0.2500 0.7500  4 Y 3.51
La: 0.0000 0.5000 0.5000  8 Y 3.23-3.30
Y: 0.4850 0.2288 0.2288  1 Er 3.04, 2 Y 3.22-3.30, 1 La 3.23
Y: 0.5150 0.7438 0.7438  1 Er 3.04, 2 Y 3.22-3.30, 1 La 3.23
Y: 0.0000 0.7712 0.2562  1 Er 3.04, 2 Y 3.22-3.30, 1 La 3.23
Y: 0.0000 0.2562 0.7712  1 Er 3.04, 2 Y 3.22-3.30, 1 La 3.23
Y: 0.2484 0.3688 0.3688  3 Y 3.11-3.30, 1 Er 3.19, 1 La 3.30
Y: 0.7516 0.1204 0.1204  3 Y 3.11-3.30, 1 Er 3.19, 1 La 3.30
Y: 0.0000 0.6312 0.8796  3 Y 3.11-3.30, 1 Er 3.19, 1 La 3.30
Y: 0.0000 0.8796 0.6312  3 Y 3.11-3.30, 1 Er 3.19, 1 La 3.30
Er: 0.0000 0.0000 0.0000  8 Y 3.04-3.19

[10]
## GeH (GGA-PBE)

Data for an optimized crystal structure of GeH.

Uncorrected energy   -3.574 eV/atom

Cell lengths 8.6404, 4.7455, 5.4738 Å; angles 90.00, 90.00, 90.00 degrees
Closest atoms and distances in Å follow each position.
Element x y z (fractional)
Ge: 0.3804 0.2500 0.1623  1 H 1.63
Ge: 0.8804 0.2500 0.3377  1 H 1.63
Ge: 0.6196 0.7500 0.8377  1 H 1.63
Ge: 0.1196 0.7500 0.6623  1 H 1.63
Ge: 0.0450 0.2500 0.8481  1 H 1.73
Ge: 0.5450 0.2500 0.6519  1 H 1.73
Ge: 0.9550 0.7500 0.1519  1 H 1.73
Ge: 0.4550 0.7500 0.3481  1 H 1.73
H: 0.3736 0.2500 0.8162  2 Ge 1.73-1.90
H: 0.8736 0.2500 0.6838  2 Ge 1.73-1.90
H: 0.6264 0.7500 0.1838  2 Ge 1.73-1.90
H: 0.1264 0.7500 0.3162  2 Ge 1.73-1.90
H: 0.0653 0.2500 0.3964  1 Ge 1.63
H: 0.5653 0.2500 0.1036  1 Ge 1.63
H: 0.9347 0.7500 0.6036  1 Ge 1.63
H: 0.4347 0.7500 0.8964  1 Ge 1.63

[11]
## BaAlTlCd (GGA-PBE)

Data for an optimized crystal structure of BaAlTlCd.

Uncorrected energy   -2.338 eV/atom
DFT formation energy   -0.101 eV/atom

Cell lengths 5.4980, 5.4980, 5.4980 Å; angles 60.00, 60.00, 60.00 degrees
Closest atoms and distances in Å follow each position.
Element x y z (fractional)
Tl: 0.5000 0.5000 0.5000  4 Al 3.37, 4 Ba 3.37
Al: 0.7500 0.7500 0.7500  4 Tl 3.37, 4 Cd 3.37
Ba: 0.2500 0.2500 0.2500  4 Cd 3.37, 4 Tl 3.37
Cd: 0.0000 0.0000 0.0000  4 Al 3.37, 4 Ba 3.37

[12]
## TmMnFe2 (GGA-PBE)

Data for an optimized crystal structure of TmMnFe2.

Uncorrected energy   -7.525 eV/atom
DFT formation energy   0.116 eV/atom
Energy relative to the lowest polymorph listed for this composition   0.000 eV/atom

Cell lengths 3.9520, 3.9520, 5.3171 Å; angles 68.18, 68.18, 60.00 degrees
Closest atoms and distances in Å follow each position.
Element x y z (fractional)
Tm: 0.5000 0.5000 0.5000  8 Fe 2.82-3.03
Fe: 0.6955 0.6955 0.9136  3 Mn 2.32, 3 Fe 2.43
Fe: 0.3045 0.3045 0.0864  3 Mn 2.32, 3 Fe 2.43
Mn: 0.0000 0.0000 0.0000  6 Fe 2.32

[13]
## Sr4Sb8Pd3 (GGA-PBE)

Data for an optimized crystal structure of Sr4Sb8Pd3.

Uncorrected energy   -4.330 eV/atom
ΔE_f (raw)   -0.644 eV per atom

Cell lengths 4.5500, 4.5500, 21.0286 Å; angles 90.00, 90.00, 90.00 degrees
Closest atoms and distances in Å follow each position.
Element x y z (fractional)
Sr: 0.5000 0.0000 0.3730  8 Sb 3.45-3.49, 4 Pd 3.51
Sr: 0.5000 0.0000 0.8786  2 Pd 3.42, 9 Sb 3.47-3.80
Sr: 0.0000 0.5000 0.1214  2 Pd 3.42, 9 Sb 3.47-3.80
Sr: 0.0000 0.5000 0.6270  8 Sb 3.45-3.49, 4 Pd 3.51
Sb: 0.5000 0.0000 0.0592  2 Pd 2.59
Sb: 0.5000 0.0000 0.5678  4 Pd 2.68
Sb: 0.0000 0.5000 0.4322  4 Pd 2.68
Sb: 0.0000 0.5000 0.9408  2 Pd 2.59
Sb: 0.5000 0.5000 0.2491  4 Sb 3.22, 4 Sr 3.46-3.52
Sb: 0.5000 0.5000 0.7509  4 Sb 3.22, 4 Sr 3.46-3.52
Sb: 0.0000 0.0000 0.2471  4 Sb 3.22, 4 Sr 3.49
Sb: 0.0000 0.0000 0.7529  4 Sb 3.22, 4 Sr 3.49
Pd: 0.5000 0.5000 0.5000  4 Sb 2.68
Pd: 0.0000 0.0000 0.0000  4 Sb 2.59
Pd: 0.0000 0.0000 0.5000  4 Sb 2.68

[14]
## Hf5AlN (GGA-PBE)

Data for an optimized crystal structure of Hf5AlN.

Uncorrected energy   -9.345 eV/atom
ΔE_f (raw)   -0.511 eV per atom

Cell lengths 5.8035, 5.8035, 9.5403 Å; angles 71.84, 71.84, 61.55 degrees
Closest atoms and distances in Å follow each position.
Element x y z (fractional)
Hf: 0.9942 0.6090 0.1286  1 N 2.23
Hf: 0.1905 0.5690 0.5414  1 N 2.16
Hf: 0.6090 0.9942 0.6286  1 N 2.23
Hf: 0.9626 0.0374 0.2500  2 N 2.40
Hf: 0.4310 0.8095 0.9586  1 N 2.16
Hf: 0.5690 0.1905 0.0414  1 N 2.16
Hf: 0.0374 0.9626 0.7500  2 N 2.40
Hf: 0.3910 0.0058 0.3714  1 N 2.23
Hf: 0.8095 0.4310 0.4586  1 N 2.16
Hf: 0.0058 0.3910 0.8714  1 N 2.23
Al: 0.4764 0.5236 0.2500  8 Hf 2.78-3.08
Al: 0.5236 0.4764 0.7500  8 Hf 2.78-3.08
N: 0.0000 0.0000 0.0000  6 Hf 2.16-2.40
N: 0.0000 0.0000 0.5000  6 Hf 2.16-2.40

[15]
## Dy3ZnIr2 (GGA-PBE)

Data for an optimized crystal structure of Dy3ZnIr2.

Uncorrected energy   -6.164 eV/atom
DFT formation energy   -0.697 eV/atom

Cell lengths 4.0557, 11.4288, 11.6071 Å; angles 90.00, 90.00, 90.00 degrees
Closest atoms and distances in Å follow each position.
Element x y z (fractional)
Dy: 0.2500 0.3759 0.0472  5 Ir 2.95-3.03, 1 Zn 3.07
Dy: 0.7500 0.6241 0.9528  5 Ir 2.95-3.03, 1 Zn 3.07
Dy: 0.7500 0.8759 0.4528  5 Ir 2.95-3.03, 1 Zn 3.07
Dy: 0.2500 0.1241 0.5472  5 Ir 2.95-3.03, 1 Zn 3.07
Dy: 0.2500 0.6746 0.2013  3 Ir 2.84-2.89, 2 Zn 2.95
Dy: 0.7500 0.3254 0.7987  3 Ir 2.84-2.89, 2 Zn 2.95
Dy: 0.7500 0.1746 0.2987  3 Ir 2.84-2.89, 2 Zn 2.95
Dy: 0.2500 0.8254 0.7013  3 Ir 2.84-2.89, 2 Zn 2.95
Dy: 0.2500 0.4230 0.3704  4 Ir 2.89-3.10, 3 Zn 2.97-3.02
Dy: 0.7500 0.5770 0.6296  4 Ir 2.89-3.10, 3 Zn 2.97-3.02
Dy: 0.7500 0.9230 0.1296  4 Ir 2.89-3.10, 3 Zn 2.97-3.02
Dy: 0.2500 0.0770 0.8704  4 Ir 2.89-3.10, 3 Zn 2.97-3.02
Zn: 0.2500 0.1183 0.1232  3 Ir 2.56-2.61
Zn: 0.7500 0.8817 0.8768  3 Ir 2.56-2.61
Zn: 0.7500 0.6183 0.3768  3 Ir 2.56-2.61
Zn: 0.2500 0.3817 0.6232  3 Ir 2.56-2.61
Ir: 0.2500 0.6903 0.4912  2 Zn 2.56
Ir: 0.7500 0.3097 0.5088  2 Zn 2.56
Ir: 0.7500 0.1903 0.0088  2 Zn 2.56
Ir: 0.2500 0.8097 0.9912  2 Zn 2.56
Ir: 0.2500 0.0012 0.3158  1 Zn 2.61, 2 Dy 2.84
Ir: 0.7500 0.9988 0.6842  1 Zn 2.61, 2 Dy 2.84
Ir: 0.7500 0.5012 0.1842  1 Zn 2.61, 2 Dy 2.84
Ir: 0.2500 0.4988 0.8158  1 Zn 2.61, 2 Dy 2.84

[16]
## Ac3HgRh8 (GGA-PBE)

Data for an optimized crystal structure of Ac3HgRh8.

Uncorrected energy   -6.357 eV/atom
DFT formation energy   -0.403 eV/atom

Cell lengths 5.4965, 5.4965, 9.5595 Å; angles 73.29, 73.29, 60.00 degrees
Closest atoms and distances in Å follow each position.
Element x y z (fractional)
Ac: 0.3763 0.3763 0.8712  12 Rh 3.23-3.28, 4 Ac 3.45-3.49
Ac: 0.9933 0.9933 0.0200  12 Rh 3.14-3.43, 1 Hg 3.32, 3 Ac 3.45
Ac: 0.5054 0.5054 0.4838  12 Rh 3.09-3.28, 3 Hg 3.29
Hg: 0.8707 0.8707 0.3879  12 Rh 3.10-3.28, 4 Ac 3.29-3.32
Rh: 0.9372 0.4367 0.1893  6 Rh 2.72-2.79
Rh: 0.4391 0.9389 0.6831  6 Rh 2.74-2.77
Rh: 0.4367 0.4367 0.1893  6 Rh 2.72-2.79
Rh: 0.9389 0.9389 0.6831  6 Rh 2.74-2.77
Rh: 0.1884 0.1884 0.4349  6 Rh 2.72-2.74
Rh: 0.6883 0.6883 0.9351  6 Rh 2.77-2.79
Rh: 0.4367 0.9372 0.1893  6 Rh 2.72-2.79
Rh: 0.9389 0.4391 0.6831  6 Rh 2.74-2.77

[17]
## Ti11Al9Co4 (GGA-PBE)

Data for an optimized crystal structure of Ti11Al9Co4.

Uncorrected energy   -6.670 eV/atom
DFT formation energy   -0.464 eV/atom

Cell lengths 3.0003, 11.4678, 11.4678 Å; angles 112.39, 90.00, 90.00 degrees
Closest atoms and distances in Å follow each position.
Element x y z (fractional)
Ti: 0.0000 0.5858 0.9352  2 Co 2.44
Ti: 0.0000 0.4142 0.0648  2 Co 2.44
Ti: 0.0000 0.9352 0.5858  2 Co 2.44
Ti: 0.0000 0.0648 0.4142  2 Co 2.44
Ti: 0.0000 0.6230 0.3770  4 Co 2.51, 2 Al 2.78
Ti: 0.0000 0.3770 0.6230  4 Co 2.51, 2 Al 2.78
Ti: 0.0000 0.8439 0.1561  8 Al 2.85-2.88, 5 Ti 2.98-3.08
Ti: 0.0000 0.1561 0.8439  8 Al 2.85-2.88, 5 Ti 2.98-3.08
Ti: 0.0000 0.0000 0.0000  8 Al 2.76, 4 Ti 2.98-3.00
Ti: 0.0000 0.6848 0.6848  4 Co 2.50, 2 Al 2.79
Ti: 0.0000 0.3152 0.3152  4 Co 2.50, 2 Al 2.79
Al: 0.5000 0.6332 0.1582  1 Co 2.64, 1 Al 2.66, 6 Ti 2.77-2.85
Al: 0.5000 0.3668 0.8418  1 Co 2.64, 1 Al 2.66, 6 Ti 2.77-2.85
Al: 0.5000 0.1582 0.6332  1 Co 2.64, 1 Al 2.66, 6 Ti 2.77-2.85
Al: 0.5000 0.8418 0.3668  1 Co 2.64, 1 Al 2.66, 6 Ti 2.77-2.85
Al: 0.5000 0.7820 0.9257  1 Co 2.61, 1 Al 2.74, 6 Ti 2.74-2.88
Al: 0.5000 0.2180 0.0743  1 Co 2.61, 1 Al 2.74, 6 Ti 2.74-2.88
Al: 0.5000 0.9257 0.7820  1 Co 2.61, 1 Al 2.74, 6 Ti 2.74-2.88
Al: 0.5000 0.0743 0.2180  1 Co 2.61, 1 Al 2.74, 6 Ti 2.74-2.88
Al: 0.5000 0.5000 0.5000  8 Ti 2.78-2.79, 4 Co 2.78, 2 Al 3.00
Co: 0.5000 0.5513 0.7576  6 Ti 2.44-2.51, 2 Al 2.61-2.64
Co: 0.5000 0.4487 0.2424  6 Ti 2.44-2.51, 2 Al 2.61-2.64
Co: 0.5000 0.7576 0.5513  6 Ti 2.44-2.51, 2 Al 2.61-2.64
Co: 0.5000 0.2424 0.4487  6 Ti 2.44-2.51, 2 Al 2.61-2.64

[18]
## Na15In (GGA-PBE)

Data for an optimized crystal structure of Na15In.

Uncorrected energy   -1.410 eV/atom
DFT formation energy   -0.002 eV/atom

Cell lengths 7.2962, 7.2962, 12.1197 Å; angles 90.00, 90.00, 120.00 degrees
Closest atoms and distances in Å follow each position.
Element x y z (fractional)
Na: 0.0000 0.0000 0.5000  12 Na 3.65-3.77
Na: 0.0034 0.5017 0.0000  10 Na 3.60-3.75, 2 In 3.65
Na: 0.9963 0.4981 0.5000  12 Na 3.61-3.82
Na: 0.4983 0.9966 0.0000  10 Na 3.60-3.75, 2 In 3.65
Na: 0.5019 0.0037 0.5000  12 Na 3.61-3.82
Na: 0.4983 0.5017 0.0000  10 Na 3.60-3.75, 2 In 3.65
Na: 0.5019 0.4981 0.5000  12 Na 3.61-3.82
Na: 0.8390 0.1610 0.2385  11 Na 3.52-3.82, 1 In 3.54
Na: 0.8390 0.1610 0.7615  11 Na 3.52-3.82, 1 In 3.54
Na: 0.8390 0.6780 0.2385  11 Na 3.52-3.82, 1 In 3.54
Na: 0.8390 0.6780 0.7615  11 Na 3.52-3.82, 1 In 3.54
Na: 0.3220 0.1610 0.2385  11 Na 3.52-3.82, 1 In 3.54
Na: 0.3220 0.1610 0.7615  11 Na 3.52-3.82, 1 In 3.54
Na: 0.3333 0.6667 0.2567  12 Na 3.64-3.75
Na: 0.3333 0.6667 0.7433  12 Na 3.64-3.75
In: 0.0000 0.0000 0.0000  12 Na 3.54-3.65

[19]
## CuOs2Ru (GGA-PBE)

Data for an optimized crystal structure of CuOs2Ru.

Uncorrected energy   -8.426 eV/atom
DFT formation energy   0.532 eV/atom
Energy relative to the lowest polymorph listed for this composition   0.325 eV/atom

Cell lengths 2.6565, 2.6565, 9.1449 Å; angles 90.00, 90.00, 118.07 degrees
Closest atoms and distances in Å follow each position.
Element x y z (fractional)
Cu: 0.5000 0.5000 0.7500  4 Os 2.65, 6 Cu 2.66-2.73
Os: 0.0000 0.0000 0.9981  2 Cu 2.65, 6 Os 2.66-2.73, 2 Ru 2.68
Os: 0.0000 0.0000 0.5019  2 Cu 2.65, 6 Os 2.66-2.73, 2 Ru 2.68
Ru: 0.5000 0.5000 0.2500  6 Ru 2.66-2.73, 4 Os 2.68